No. 1
Density functional theory data (GGA-PBEsol) for a relaxed structure of Al2ReNi.

a b c (Å): 3.0981 3.0981 5.5339
angles (deg): 90.00 90.00 90.00
Closest atoms and distances in Å follow each position.
Atoms (fractional coordinates):
Al1 0.0000 0.0000 0.0000  4 Re 2.55, 2 Ni 2.69-2.84, 4 Al 2.70
Al2 0.5000 0.5000 0.2845  4 Ni 2.46, 1 Re 2.66, 4 Al 2.70
Re1 0.5000 0.5000 0.7649  5 Al 2.55-2.66, 4 Ni 2.68
Ni1 0.0000 0.0000 0.4865  5 Al 2.46-2.69, 4 Re 2.68

Summary:
E_tot   -7.050 eV per atom
Energy of formation from the pure elements   -132 meV/atom
Total moment   0.00 μB/f.u.
Calculated density   9.34 g cm⁻³
Energy relative to the lowest polymorph listed for this composition   21.9 kJ per mole of atoms

---

No. 2
Density functional theory data (GGA-PBEsol) for a relaxed structure of Ba2AsAu.

a b c (Å): 5.5332 5.5332 4.0212
angles (deg): 90.00 90.00 90.00
Closest atoms and distances in Å follow each position.
Atoms (fractional coordinates):
Ba1 0.0000 0.5000 0.0000  4 As 3.42, 4 Au 3.42
Ba2 0.5000 0.0000 0.0000  4 As 3.42, 4 Au 3.42
As1 0.0000 0.0000 0.5000  8 Ba 3.42
Au1 0.5000 0.5000 0.5000  8 Ba 3.42

Summary:
E_tot   -4.155 eV per atom
Energy of formation from the pure elements   -823 meV/atom
Total moment   0.00 μB/f.u.
Calculated density   7.37 g cm⁻³

---

No. 3
Density functional theory data (GGA-PBEsol) for a relaxed structure of HfMgPO2.

a b c (Å): 3.7672 3.7672 4.7612
angles (deg): 90.00 90.00 90.00
Closest atoms and distances in Å follow each position.
Atoms (fractional coordinates):
Hf1 0.0000 0.0000 0.0000  4 P 2.66
Mg1 0.5000 0.5000 0.5000  4 O 1.88
P1 0.5000 0.5000 0.0000  2 Mg 2.38, 4 Hf 2.66
O1 0.0000 0.5000 0.5000  2 Mg 1.88
O2 0.5000 0.0000 0.5000  2 Mg 1.88

Summary:
E_tot   -6.594 eV per atom
E_form (uncorrected)   -892 meV per atom
Total moment   0.00 μB/f.u.
Calculated density   6.53 g cm⁻³

---

No. 4
Density functional theory data (GGA-PBEsol) for a relaxed structure of CuPt2W.

a b c (Å): 2.7479 3.8441 5.3881
angles (deg): 90.00 90.00 90.00
Closest atoms and distances in Å follow each position.
Atoms (fractional coordinates):
Cu1 0.0000 0.0000 0.0000  2 W 2.69, 8 Pt 2.72, 2 Cu 2.75
Pt1 0.5000 0.5000 0.2494  4 Pt 2.69-2.75, 4 Cu 2.72, 4 W 2.72
Pt2 0.5000 0.5000 0.7506  4 Pt 2.69-2.75, 4 Cu 2.72, 4 W 2.72
W1 0.0000 0.0000 0.5000  2 Cu 2.69, 8 Pt 2.72, 2 W 2.75

Summary:
E_tot   -8.220 eV per atom
Energy of formation from the pure elements   -202 meV/atom
Total moment   0.00 μB/f.u.
Calculated density   18.60 g cm⁻³
Energy relative to the lowest polymorph listed for this composition   7.0 kJ per mole of atoms

---

No. 5
Density functional theory data (GGA-PBEsol) for a relaxed structure of BeSbAs2.

a b c (Å): 5.7796 5.6893 3.8436
angles (deg): 71.69 69.16 39.15
Closest atoms and distances in Å follow each position.
Atoms (fractional coordinates):
Be1 0.0000 0.0000 0.0000  4 Sb 2.62-2.81, 4 As 2.89
Sb1 0.5000 0.5000 0.5000  4 Be 2.62-2.81, 4 As 2.89
As1 0.0000 0.5000 0.5000  4 As 2.62-2.81, 2 Sb 2.89, 2 Be 2.89
As2 0.5000 0.0000 0.0000  4 As 2.62-2.81, 2 Sb 2.89, 2 Be 2.89

Summary:
E_tot   -4.387 eV per atom
E_form (uncorrected)   305 meV per atom
Total moment   0.00 μB/f.u.
Calculated density   6.26 g cm⁻³
Energy relative to the lowest polymorph listed for this composition   24.0 kJ per mole of atoms

---

No. 6
Density functional theory data (GGA-PBEsol) for a relaxed structure of MnBe2As.

a b c (Å): 2.9739 2.9739 4.7197
angles (deg): 90.00 90.00 90.00
Closest atoms and distances in Å follow each position.
Atoms (fractional coordinates):
Mn1 0.0000 0.0000 0.0000  6 Be 2.24-2.48, 4 As 2.40
Be1 0.0000 0.0000 0.5248  2 Mn 2.24-2.48, 4 Be 2.33, 4 As 2.48
Be2 0.5000 0.5000 0.7383  2 As 2.33-2.39, 4 Be 2.33, 4 Mn 2.44
As1 0.5000 0.5000 0.2453  6 Be 2.33-2.48, 4 Mn 2.40

Summary:
E_tot   -5.704 eV per atom
Energy of formation from the pure elements   13 meV/atom
Total moment   0.00 μB/f.u.
Calculated density   5.88 g cm⁻³

---

What is the total moment in the first record?
0.00 μB/f.u.

---

What did the first record say?
Density functional theory data (GGA-PBEsol) for a relaxed structure of Al2ReNi.

a b c (Å): 3.0981 3.0981 5.5339
angles (deg): 90.00 90.00 90.00
Closest atoms and distances in Å follow each position.
Atoms (fractional coordinates):
Al1 0.0000 0.0000 0.0000  4 Re 2.55, 2 Ni 2.69-2.84, 4 Al 2.70
Al2 0.5000 0.5000 0.2845  4 Ni 2.46, 1 Re 2.66, 4 Al 2.70
Re1 0.5000 0.5000 0.7649  5 Al 2.55-2.66, 4 Ni 2.68
Ni1 0.0000 0.0000 0.4865  5 Al 2.46-2.69, 4 Re 2.68

Summary:
E_tot   -7.050 eV per atom
Energy of formation from the pure elements   -132 meV/atom
Total moment   0.00 μB/f.u.
Calculated density   9.34 g cm⁻³
Energy relative to the lowest polymorph listed for this composition   21.9 kJ per mole of atoms

---

Among the records above, which one has the highest calculated density?
CuPt2W

---

Which formula does entry 4 have?
CuPt2W